Entry from the Alexandria database: an optimized crystal structure of Rb2Fe2Bi (PBE).

Geometry as CIF:
```
data_Rb2Fe2Bi
_chemical_formula_sum 'Rb2 Fe2 Bi1'
_cell_length_a 3.266
_cell_length_b 3.266
_cell_length_c 12.453
_cell_angle_alpha 82.47
_cell_angle_beta 82.47
_cell_angle_gamma 90.00
_space_group_name_H-M_alt 'P 1'
_space_group_IT_number 1
loop_
_space_group_symop_operation_xyz
'x,y,z'
loop_
_atom_site_label
_atom_site_fract_x
_atom_site_fract_y
_atom_site_fract_z
_atom_site_occupancy
Rb1 0.623 0.623 0.754 1
Rb2 0.377 0.377 0.246 1
Fe1 0.250 0.750 0.500 1
Fe2 0.750 0.250 0.500 1
Bi1 0.000 0.000 0.000 1
```

Values from the calculation:
Formation energy from the elements in kcal/mol of atoms: 15.7
Offset from the most stable computed form in eV per atom: 0.000